# 1
Compound: Mo2P2N
Source: Alexandria via LeMat-Bulk
Functional: PBE
Structure: relaxed

Calculated values
The volume comes out at 13.145 Å³ per atom. For the energy relative to the elements, uncorrected, the calculation gives 0.546 eV per formula unit. The value obtained for the total energy is -8.052 eV per atom. For the density of states at the Fermi level, the calculation gives 0.659 states/eV per atom. The calculation puts the relative energy among the computed polymorphs at 0.0 meV/atom.

Structure (extended XYZ):
```
10
Lattice="5.8367 0.0000 0.0000 0.0000 5.8367 0.0000 0.0000 0.0000 3.8587" Properties=species:S:1:pos:R:3 pbc="T T T"
Mo 1.0168 1.9015 0.0000
Mo 1.9015 4.8198 0.0000
Mo 3.9351 1.0168 0.0000
Mo 4.8198 3.9351 0.0000
P 0.7975 3.7158 1.9293
P 2.1208 0.7975 1.9293
P 3.7158 5.0392 1.9293
P 5.0392 2.1208 1.9293
N 0.0000 0.0000 0.0000
N 2.9183 2.9183 0.0000
```


# 2
Compound: RbCdP2
Source: Alexandria via LeMat-Bulk
Functional: PBE
Structure: relaxed

Calculated values
The volume comes out at 29.666 Å³ per atom. The value obtained for the total energy is -3.096 eV per atom. For the density of states at the Fermi level, the calculation gives 0.464 states/eV per atom.

Structure (extended XYZ):
```
8
Lattice="-2.5710 2.5710 8.9759 2.5710 -2.5710 8.9759 2.5710 2.5710 -8.9759" Properties=species:S:1:pos:R:3 pbc="T T T"
Rb 2.5710 1.2855 2.2440
Rb 0.0000 1.2855 6.7319
Cd 2.5710 -1.2855 6.7319
Cd 0.0000 3.8565 2.2440
P 0.0000 0.0000 0.0000
P 1.2855 1.2855 -4.4879
P 1.2855 -1.2855 4.4879
P 0.0000 2.5710 0.0000
```


# 3
Compound: Ta3Mo13
Source: Alexandria via LeMat-Bulk
Functional: PBE
Structure: relaxed

Calculated values
The volume comes out at 16.209 Å³ per atom. The value obtained for the total energy is -11.135 eV per atom. For the density of states at the Fermi level, the calculation gives 0.534 states/eV per atom. The calculation puts the relative energy among the computed polymorphs at 0.0 meV/atom.

Structure (extended XYZ):
```
16
Lattice="9.0291 0.0000 0.0000 0.0000 3.1868 4.5067 0.0000 -3.1868 4.5067" Properties=species:S:1:pos:R:3 pbc="T T T"
Ta 0.0000 0.0000 0.0000
Ta 2.2635 0.0000 2.2392
Ta 6.7657 0.0000 2.2392
Mo 0.0000 0.0000 4.4883
Mo 0.0000 -1.5780 6.7508
Mo 0.0000 1.5780 6.7508
Mo 2.2636 0.0000 6.7554
Mo 2.2803 -1.5859 4.4973
Mo 2.2803 1.5859 4.4973
Mo 4.5146 0.0000 9.0102
Mo 4.5146 0.0000 4.4898
Mo 4.5146 -1.5780 6.7501
Mo 4.5146 1.5780 6.7501
Mo 6.7488 -1.5859 4.4973
Mo 6.7488 1.5859 4.4973
Mo 6.7655 0.0000 6.7554
```


# 4
Compound: Th2As3Rh4Au
Source: Alexandria via LeMat-Bulk
Functional: PBE
Structure: relaxed

Calculated values
The volume comes out at 18.863 Å³ per atom. The value obtained for the total energy is -6.991 eV per atom. For the density of states at the Fermi level, the calculation gives 0.493 states/eV per atom.

Structure (extended XYZ):
```
10
Lattice="4.0732 0.0000 0.0000 0.0000 4.0732 0.0000 0.0000 0.0000 11.3697" Properties=species:S:1:pos:R:3 pbc="T T T"
Th 0.0000 2.0366 2.8049
Th 2.0366 0.0000 8.5648
As 0.0000 0.0000 0.0000
As 0.0000 2.0366 7.1102
As 2.0366 0.0000 4.2595
Rh 0.0000 0.0000 5.6848
Rh 0.0000 2.0366 9.4858
Rh 2.0366 0.0000 1.8839
Rh 2.0366 2.0366 5.6848
Au 2.0366 2.0366 0.0000
```


# 5
Compound: PdWSe2
Source: Alexandria via LeMat-Bulk
Functional: PBE
Structure: relaxed

Calculated values
The volume comes out at 19.056 Å³ per atom. For the energy relative to the elements, uncorrected, the calculation gives -0.384 eV per formula unit. The value obtained for the total energy is -6.375 eV per atom. For the density of states at the Fermi level, the calculation gives 0.663 states/eV per atom. The calculation puts the relative energy among the computed polymorphs at 0.0 meV/atom.

Structure (extended XYZ):
```
4
Lattice="1.6193 0.9349 8.3914 -1.6193 0.9349 8.3914 0.0000 -1.8698 8.3914" Properties=species:S:1:pos:R:3 pbc="T T T"
Pd 0.0000 0.0000 0.0000
W 0.0000 0.0000 12.5870
Se 0.0000 0.0000 2.4442
Se 0.0000 0.0000 22.7298
```


# 6
Compound: Cs2TlPb2Au
Source: Alexandria via LeMat-Bulk
Functional: PBE
Structure: relaxed

Calculated values
The volume comes out at 41.509 Å³ per atom. The value obtained for the total energy is -2.603 eV per atom. For the density of states at the Fermi level, the calculation gives 0.636 states/eV per atom.

Structure (extended XYZ):
```
12
Lattice="-3.7440 8.8867 3.7428 3.7440 -8.8867 3.7428 3.7440 8.8867 -3.7428" Properties=species:S:1:pos:R:3 pbc="T T T"
Cs 1.7098 2.9530 0.0000
Cs 1.7098 -2.9530 3.7428
Cs 2.0342 11.8397 0.0000
Cs 2.0342 5.9336 3.7428
Tl 0.0000 0.0000 1.8714
Tl 0.0000 0.0000 5.6142
Pb 5.3057 1.5535 0.0000
Pb 1.5617 7.3332 0.0000
Pb 2.1823 1.5535 3.7428
Pb -1.5617 7.3332 3.7428
Au 3.7440 0.0000 1.8714
Au 0.0000 8.8867 1.8714
```


# 7
Compound: Ac5LaPrNd2
Source: Alexandria via LeMat-Bulk
Functional: PBE
Structure: relaxed

Calculated values
The volume comes out at 42.254 Å³ per atom. The value obtained for the total energy is -4.166 eV per atom. For the density of states at the Fermi level, the calculation gives 1.682 states/eV per atom.

Structure (extended XYZ):
```
18
Lattice="-4.2692 4.2692 10.4322 4.2692 -4.2692 10.4322 4.2692 4.2692 -10.4322" Properties=species:S:1:pos:R:3 pbc="T T T"
Ac 0.0000 0.0000 0.0000
Ac 6.0839 1.8147 -2.7758
Ac 1.8147 2.4546 -2.7758
Ac 6.0839 1.8147 2.7758
Ac 1.8147 2.4546 2.7758
Ac 0.0000 0.0000 10.4322
Ac 2.4546 1.8147 7.6564
Ac -1.8147 2.4546 7.6564
Ac 2.4546 1.8147 13.2080
Ac -1.8147 2.4546 13.2080
La 4.2692 0.0000 5.2161
La 0.0000 4.2692 5.2161
Pr 0.0000 0.0000 5.2161
Pr 0.0000 0.0000 15.6483
Nd 3.2293 1.0400 0.0000
Nd 3.2293 -1.0400 10.4322
Nd 1.0400 5.3092 0.0000
Nd 1.0400 3.2293 10.4322
```


# 8
Compound: Tb5Pm4Er2
Source: Alexandria via LeMat-Bulk
Functional: PBE
Structure: relaxed

Calculated values
The volume comes out at 33.024 Å³ per atom. The value obtained for the total energy is -4.547 eV per atom. For the density of states at the Fermi level, the calculation gives 1.496 states/eV per atom. The calculation puts the relative energy among the computed polymorphs at 4.4 meV/atom.

Structure (extended XYZ):
```
11
Lattice="5.5368 -3.7146 0.0000 5.5368 3.7146 0.0000 -2.4887 0.0000 8.8313" Properties=species:S:1:pos:R:3 pbc="T T T"
Tb 0.0000 0.0000 0.0000
Tb 2.9433 1.6391 6.3902
Tb 5.6415 1.6391 2.4411
Tb 2.9433 -1.6391 6.3902
Tb 5.6415 -1.6391 2.4411
Pm 3.4298 0.0000 0.0165
Pm 2.7080 0.0000 3.3628
Pm 5.8769 0.0000 5.4685
Pm 5.1551 0.0000 8.8147
Er 0.0127 0.0000 5.4995
Er 8.5722 0.0000 3.3318
```